Below is a relaxed Ca2MgZn4Si3 crystal, with properties calculated at the GGA-PBE level.

**Fermi-level density of states**: 0.275 states/eV/atom
**V**: 188.9 Å³/cell
**Formation energy (no corrections)**: -2.82 eV per formula unit

Cell lengths 4.1491, 4.1491, 10.9709 Å; angles 90.00, 90.00, 90.00 degrees
With the nearest neighbours (Å) after each atom.
Fractional coordinates of all 10 atoms:
Zn (0.5000, 0.5000, 0.0000)  4 Si 2.54
Ca (0.5000, 0.0000, 0.2356)  4 Si 3.14, 8 Zn 3.21-3.31
Mg (0.5000, 0.5000, 0.5000)  4 Zn 2.62, 4 Si 2.93
Ca (0.0000, 0.5000, 0.7644)  4 Si 3.14, 8 Zn 3.21-3.31
Si (0.0000, 0.0000, 0.5000)  4 Zn 2.62, 4 Mg 2.93
Zn (0.0000, 0.5000, 0.3541)  3 Si 2.42-2.62, 2 Mg 2.62
Si (0.5000, 0.0000, 0.8661)  5 Zn 2.42-2.54
Zn (0.5000, 0.0000, 0.6459)  3 Si 2.42-2.62, 2 Mg 2.62
Zn (0.0000, 0.0000, 0.0000)  4 Si 2.54
Si (0.0000, 0.5000, 0.1339)  5 Zn 2.42-2.54

***

Below is a relaxed CaSmMg3 crystal, with properties calculated at the GGA-PBE level.

**Fermi-level density of states**: 0.955 states/eV/atom
**V**: 307.8 Å³/cell
**Energy of formation from the pure elements**: 52.9 meV/atom

Cell lengths 5.7629, 6.8478, 8.5172 Å; angles 113.70, 90.00, 90.00 degrees
With the nearest neighbours (Å) after each atom.
Fractional coordinates of all 10 atoms:
Mg (0.2500, 0.6293, 0.7232)  3 Mg 3.04-3.18, 1 Sm 3.15
Sm (0.2500, 0.1974, 0.3947)  8 Mg 3.15-3.42
Mg (0.7500, 0.3707, 0.2768)  3 Mg 3.04-3.18, 1 Sm 3.15
Mg (0.7500, 0.9061, 0.2768)  3 Mg 3.04-3.18, 1 Sm 3.15
Mg (0.5000, 0.0000, 0.0000)  6 Mg 2.88-3.04
Mg (0.0000, 0.0000, 0.0000)  6 Mg 2.88-3.04
Sm (0.7500, 0.8026, 0.6053)  8 Mg 3.15-3.42
Ca (0.2500, 0.6069, 0.2138)  4 Mg 3.45, 2 Sm 3.70
Mg (0.2500, 0.0939, 0.7232)  3 Mg 3.04-3.18, 1 Sm 3.15
Ca (0.7500, 0.3931, 0.7862)  4 Mg 3.45, 2 Sm 3.70

***

Below is a relaxed Ca3Sm2Mg4 crystal, with properties calculated at the GGA-PBE level.

**Fermi-level density of states**: 1.126 states/eV/atom
**V**: 280.5 Å³/cell
**Energy of formation from the pure elements**: -33.1 meV/atom

Cell lengths 5.5598, 5.5589, 10.4821 Å; angles 90.03, 90.02, 59.97 degrees
With the nearest neighbours (Å) after each atom.
Fractional coordinates of all 9 atoms:
Mg (0.6665, 0.6667, 0.8940)  4 Sm 3.28-3.38, 4 Ca 3.32-3.40
Sm (0.6667, 0.6667, 0.2067)  7 Mg 3.28-3.48
Ca (0.6666, 0.6666, 0.5774)  4 Mg 3.32-3.34, 3 Ca 3.60
Ca (0.3334, 0.3334, 0.4226)  4 Mg 3.32-3.34, 3 Ca 3.60
Ca (0.0000, 0.0000, 0.0000)  8 Mg 3.40-3.50
Mg (0.9999, 0.0001, 0.6658)  4 Ca 3.34-3.50, 3 Sm 3.48, 1 Mg 3.48
Mg (0.3335, 0.3333, 0.1060)  4 Sm 3.28-3.38, 4 Ca 3.32-3.40
Mg (0.0001, 0.9999, 0.3342)  4 Ca 3.34-3.50, 3 Sm 3.48, 1 Mg 3.48
Sm (0.3333, 0.3333, 0.7933)  7 Mg 3.28-3.48

***

Below is a relaxed Ca4SmMg5 crystal, with properties calculated at the GGA-PBE level.

**Fermi-level density of states**: 1.124 states/eV/atom
**V**: 306.1 Å³/cell
**Energy of formation from the pure elements**: -80.4 meV/atom

Cell lengths 3.9210, 3.9210, 19.9079 Å; angles 90.00, 90.00, 90.00 degrees
With the nearest neighbours (Å) after each atom.
Fractional coordinates of all 10 atoms:
Mg (0.5000, 0.5000, 0.7027)  8 Ca 3.43
Sm (0.0000, 0.0000, 0.0000)  8 Mg 3.35
Ca (0.0000, 0.0000, 0.1959)  8 Mg 3.43
Mg (0.5000, 0.5000, 0.0947)  4 Sm 3.35, 4 Ca 3.43
Mg (0.5000, 0.5000, 0.5000)  8 Ca 3.43
Ca (0.0000, 0.0000, 0.3984)  8 Mg 3.43
Ca (0.0000, 0.0000, 0.6016)  8 Mg 3.43
Ca (0.0000, 0.0000, 0.8041)  8 Mg 3.43
Mg (0.5000, 0.5000, 0.9053)  4 Sm 3.35, 4 Ca 3.43
Mg (0.5000, 0.5000, 0.2973)  8 Ca 3.43

***

Below is a relaxed Ca2SmMg crystal, with properties calculated at the GGA-PBE level.

**Fermi-level density of states**: 1.433 states/eV/atom
**Energy above the most stable polymorph in this dataset**: 0.002 eV/atom
**V**: 136.9 Å³/cell
**Energy of formation from the pure elements**: 60.4 meV/atom

Cell lengths 5.4436, 5.0148, 5.0148 Å; angles 90.00, 90.00, 90.00 degrees
With the nearest neighbours (Å) after each atom.
Fractional coordinates of all 4 atoms:
Mg (0.5000, 0.0000, 0.0000)  4 Sm 3.55, 8 Ca 3.70
Sm (0.5000, 0.5000, 0.5000)  4 Mg 3.55, 8 Ca 3.70
Ca (0.0000, 0.5000, 0.0000)  4 Ca 3.55, 4 Mg 3.70, 4 Sm 3.70
Ca (0.0000, 0.0000, 0.5000)  4 Ca 3.55, 4 Sm 3.70, 4 Mg 3.70

***

Below is a relaxed CaSm3Mg6 crystal, with properties calculated at the GGA-PBE level.

**Fermi-level density of states**: 0.936 states/eV/atom
**V**: 558.5 Å³/cell
**Energy of formation from the pure elements**: -66.5 meV/atom

Cell lengths 5.3887, 9.3852, 11.4964 Å; angles 106.13, 90.00, 90.00 degrees
With the nearest neighbours (Å) after each atom.
Fractional coordinates of all 20 atoms:
Mg (0.2500, 0.8529, 0.3010)  4 Sm 3.26-3.41, 3 Ca 3.28-3.36, 1 Mg 3.30
Mg (0.2500, 0.4368, 0.0989)  1 Mg 3.22, 7 Sm 3.25-3.40
Mg (0.7500, 0.1471, 0.6990)  4 Sm 3.26-3.41, 3 Ca 3.28-3.36, 1 Mg 3.30
Mg (0.2500, 0.6622, 0.7082)  1 Ca 3.22, 2 Mg 3.27, 5 Sm 3.29-3.48
Ca (0.2500, 0.9483, 0.6054)  8 Mg 3.22-3.40
Ca (0.7500, 0.0517, 0.3946)  8 Mg 3.22-3.40
Mg (0.7500, 0.3378, 0.2918)  1 Ca 3.22, 2 Mg 3.27, 5 Sm 3.29-3.48
Sm (0.7500, 0.2496, 0.9946)  8 Mg 3.26-3.40
Mg (0.2500, 0.0481, 0.9049)  3 Mg 3.19-3.27, 4 Sm 3.29-3.43, 1 Ca 3.31
Mg (0.7500, 0.8550, 0.8063)  8 Mg 3.19-3.31
Mg (0.2500, 0.1450, 0.1937)  8 Mg 3.19-3.31
Mg (0.7500, 0.5632, 0.9011)  1 Mg 3.22, 7 Sm 3.25-3.40
Sm (0.2500, 0.7504, 0.0054)  8 Mg 3.26-3.40
Sm (0.2500, 0.5376, 0.3935)  8 Mg 3.24-3.48
Mg (0.2500, 0.2473, 0.4930)  4 Sm 3.24-3.40, 3 Ca 3.28-3.40, 1 Mg 3.31
Sm (0.7500, 0.6455, 0.2026)  8 Mg 3.32-3.43
Sm (0.7500, 0.4624, 0.6065)  8 Mg 3.24-3.48
Sm (0.2500, 0.3545, 0.7974)  8 Mg 3.32-3.43
Mg (0.7500, 0.9519, 0.0951)  3 Mg 3.19-3.27, 4 Sm 3.29-3.43, 1 Ca 3.31
Mg (0.7500, 0.7527, 0.5070)  4 Sm 3.24-3.40, 3 Ca 3.28-3.40, 1 Mg 3.31